# AcHo2In9

An optimized crystal structure of AcHo2In9 (PBE, Alexandria).

- total magnetization (μB per atom) = 0.0000
- total energy (eV per atom) = -3.55
- D(E_F) (states/eV/atom) = 0.570

Structure (CIF):
```
data_AcHo2In9
_symmetry_space_group_name_H-M 'P 4/m m m'
_symmetry_Int_Tables_number 123
_symmetry_space_group_name_Hall '-P 4 2'
_cell_length_a 4.747
_cell_length_b 4.747
_cell_length_c 14.120
_cell_angle_alpha 90.00
_cell_angle_beta 90.00
_cell_angle_gamma 90.00
loop_
_atom_site_label
_atom_site_type_symbol
_atom_site_fract_x
_atom_site_fract_y
_atom_site_fract_z
Ac1 Ac 0.000 0.000 0.000
Ho1 Ho 0.000 0.000 0.342
In1 In 0.000 0.500 0.179
In2 In 0.000 0.500 0.500
In3 In 0.500 0.500 0.000
In4 In 0.500 0.500 0.337
```

---

# AcHo5In6

An optimized crystal structure of AcHo5In6 (PBE, Alexandria).

- total magnetization (μB per atom) = 0.0000
- total energy (eV per atom) = -4.04
- D(E_F) (states/eV/atom) = 0.578

Structure (CIF):
```
data_AcHo5In6
_symmetry_space_group_name_H-M 'I m m m'
_symmetry_Int_Tables_number 71
_symmetry_space_group_name_Hall '-I 2 2'
_cell_length_a 5.414
_cell_length_b 7.529
_cell_length_c 16.257
_cell_angle_alpha 90.00
_cell_angle_beta 90.00
_cell_angle_gamma 90.00
loop_
_atom_site_label
_atom_site_type_symbol
_atom_site_fract_x
_atom_site_fract_y
_atom_site_fract_z
Ac1 Ac 0.000 0.000 0.000
Ho1 Ho 0.000 0.000 0.331
Ho2 Ho 0.000 0.500 0.000
Ho3 Ho 0.000 0.500 0.340
In1 In 0.000 0.226 0.500
In2 In 0.000 0.262 0.173
```

---

# AcHoIn3

An optimized crystal structure of AcHoIn3 (PBE, Alexandria).

- total magnetization (μB per atom) = 0.0000
- total energy (eV per atom) = -3.79
- D(E_F) (states/eV/atom) = 0.698

Structure (CIF):
```
data_AcHoIn3
_symmetry_space_group_name_H-M 'C m c m'
_symmetry_Int_Tables_number 63
_symmetry_space_group_name_Hall '-C 2c 2'
_cell_length_a 4.466
_cell_length_b 28.790
_cell_length_c 4.730
_cell_angle_alpha 90.00
_cell_angle_beta 90.00
_cell_angle_gamma 90.00
loop_
_atom_site_label
_atom_site_type_symbol
_atom_site_fract_x
_atom_site_fract_y
_atom_site_fract_z
Ac1 Ac 0.000 0.078 0.250
Ho1 Ho 0.000 0.206 0.750
In1 In 0.000 0.314 0.750
In2 In 0.000 0.374 0.250
In3 In 0.000 0.474 0.250
```

---

# Ac3HoIn3

An optimized crystal structure of Ac3HoIn3 (PBE, Alexandria).

- total magnetization (μB per atom) = 0.0000
- total energy (eV per atom) = -3.85
- D(E_F) (states/eV/atom) = 1.011

Structure (CIF):
```
data_Ac3HoIn3
_symmetry_space_group_name_H-M 'C 1 2/m 1'
_symmetry_Int_Tables_number 12
_symmetry_space_group_name_Hall '-C 2y'
_cell_length_a 8.706
_cell_length_b 11.486
_cell_length_c 10.073
_cell_angle_alpha 90.00
_cell_angle_beta 94.10
_cell_angle_gamma 90.00
loop_
_atom_site_label
_atom_site_type_symbol
_atom_site_fract_x
_atom_site_fract_y
_atom_site_fract_z
Ac1 Ac 0.000 0.179 0.000
Ac2 Ac 0.000 0.246 0.500
Ac3 Ac 0.105 0.500 0.817
Ho1 Ho 0.235 0.500 0.459
In1 In 0.014 0.000 0.277
In2 In 0.234 0.309 0.237
```

---

# AcHo3In3

An optimized crystal structure of AcHo3In3 (PBE, Alexandria).

- total magnetization (μB per atom) = 0.0000
- total energy (eV per atom) = -4.06
- D(E_F) (states/eV/atom) = 0.965

Structure (CIF):
```
data_AcHo3In3
_symmetry_space_group_name_H-M 'P 63/m'
_symmetry_Int_Tables_number 176
_symmetry_space_group_name_Hall '-P 6c'
_cell_length_a 9.6209
_cell_length_b 9.6209
_cell_length_c 5.2445
_cell_angle_alpha 90.00
_cell_angle_beta 90.00
_cell_angle_gamma 120.00
loop_
_atom_site_label
_atom_site_type_symbol
_atom_site_fract_x
_atom_site_fract_y
_atom_site_fract_z
Ac1 Ac 0.3333 0.6667 0.2500
Ho1 Ho 0.0046 0.7728 0.7500
In1 In 0.0662 0.4455 0.7500
```

---

# Li2AcHo2In2

An optimized crystal structure of Li2AcHo2In2 (PBE, Alexandria).

- total magnetization (μB per atom) = 0.0000
- total energy (eV per atom) = -3.46
- D(E_F) (states/eV/atom) = 0.802

Structure (CIF):
```
data_Li2AcHo2In2
_symmetry_space_group_name_H-M 'R -3 m'
_symmetry_Int_Tables_number 166
_symmetry_space_group_name_Hall '-R 3 2"'
_cell_length_a 4.9547
_cell_length_b 4.9547
_cell_length_c 27.6937
_cell_angle_alpha 90.00
_cell_angle_beta 90.00
_cell_angle_gamma 120.00
loop_
_atom_site_label
_atom_site_type_symbol
_atom_site_fract_x
_atom_site_fract_y
_atom_site_fract_z
Li1 Li 0.0000 0.0000 0.0805
Ac1 Ac 0.0000 0.0000 0.5000
Ho1 Ho 0.0000 0.0000 0.3683
In1 In 0.0000 0.0000 0.2477
```

---

# Li2AcHoIn4

An optimized crystal structure of Li2AcHoIn4 (PBE, Alexandria).

- total magnetization (μB per atom) = 0.0000
- total energy (eV per atom) = -3.32
- D(E_F) (states/eV/atom) = 0.333

Structure (CIF):
```
data_Li2AcHoIn4
_symmetry_space_group_name_H-M 'R -3 m'
_symmetry_Int_Tables_number 166
_symmetry_space_group_name_Hall '-R 3 2"'
_cell_length_a 4.8307
_cell_length_b 4.8307
_cell_length_c 31.3687
_cell_angle_alpha 90.00
_cell_angle_beta 90.00
_cell_angle_gamma 120.00
loop_
_atom_site_label
_atom_site_type_symbol
_atom_site_fract_x
_atom_site_fract_y
_atom_site_fract_z
Li1 Li 0.0000 0.0000 0.2347
Ac1 Ac 0.0000 0.0000 0.0000
Ho1 Ho 0.0000 0.0000 0.5000
In1 In 0.0000 0.0000 0.1174
In2 In 0.0000 0.0000 0.3992
```

---

# AcHoMgIn

An optimized crystal structure of AcHoMgIn (PBE, Alexandria).

- total magnetization (μB per atom) = 0.0000
- total energy (eV per atom) = -3.50
- D(E_F) (states/eV/atom) = 0.848

Structure (CIF):
```
data_AcHoMgIn
_symmetry_space_group_name_H-M 'F -4 3 m'
_symmetry_Int_Tables_number 216
_symmetry_space_group_name_Hall 'F -4 2 3'
_cell_length_a 7.873
_cell_length_b 7.873
_cell_length_c 7.873
_cell_angle_alpha 90.00
_cell_angle_beta 90.00
_cell_angle_gamma 90.00
loop_
_atom_site_label
_atom_site_type_symbol
_atom_site_fract_x
_atom_site_fract_y
_atom_site_fract_z
Ac1 Ac 0.000 0.000 0.000
Ho1 Ho 0.000 0.000 0.500
Mg1 Mg 0.250 0.250 0.250
In1 In 0.250 0.250 0.750
```

---

# NaAcHoIn

An optimized crystal structure of NaAcHoIn (PBE, Alexandria).

- total magnetization (μB per atom) = 0.0000
- total energy (eV per atom) = -3.29
- D(E_F) (states/eV/atom) = 1.022

Structure (CIF):
```
data_NaAcHoIn
_symmetry_space_group_name_H-M 'F -4 3 m'
_symmetry_Int_Tables_number 216
_symmetry_space_group_name_Hall 'F -4 2 3'
_cell_length_a 7.977
_cell_length_b 7.977
_cell_length_c 7.977
_cell_angle_alpha 90.00
_cell_angle_beta 90.00
_cell_angle_gamma 90.00
loop_
_atom_site_label
_atom_site_type_symbol
_atom_site_fract_x
_atom_site_fract_y
_atom_site_fract_z
Na1 Na 0.000 0.000 0.000
Ac1 Ac 0.250 0.250 0.250
Ho1 Ho 0.250 0.250 0.750
In1 In 0.000 0.000 0.500
```

---

# AcHoInPb

An optimized crystal structure of AcHoInPb (PBE, Alexandria).

- total magnetization (μB per atom) = 0.0000
- total energy (eV per atom) = -4.17
- D(E_F) (states/eV/atom) = 0.760

Structure (CIF):
```
data_AcHoInPb
_symmetry_space_group_name_H-M 'F -4 3 m'
_symmetry_Int_Tables_number 216
_symmetry_space_group_name_Hall 'F -4 2 3'
_cell_length_a 7.955
_cell_length_b 7.955
_cell_length_c 7.955
_cell_angle_alpha 90.00
_cell_angle_beta 90.00
_cell_angle_gamma 90.00
loop_
_atom_site_label
_atom_site_type_symbol
_atom_site_fract_x
_atom_site_fract_y
_atom_site_fract_z
Ac1 Ac 0.000 0.000 0.000
Ho1 Ho 0.000 0.000 0.500
In1 In 0.250 0.250 0.750
Pb1 Pb 0.250 0.250 0.250
```

---

# AcHoInPd

An optimized crystal structure of AcHoInPd (PBE, Alexandria).

- total magnetization (μB per atom) = 0.0000
- total energy (eV per atom) = -4.64
- D(E_F) (states/eV/atom) = 1.063

Structure (CIF):
```
data_AcHoInPd
_symmetry_space_group_name_H-M 'F -4 3 m'
_symmetry_Int_Tables_number 216
_symmetry_space_group_name_Hall 'F -4 2 3'
_cell_length_a 7.628
_cell_length_b 7.628
_cell_length_c 7.628
_cell_angle_alpha 90.00
_cell_angle_beta 90.00
_cell_angle_gamma 90.00
loop_
_atom_site_label
_atom_site_type_symbol
_atom_site_fract_x
_atom_site_fract_y
_atom_site_fract_z
Ac1 Ac 0.000 0.000 0.000
Ho1 Ho 0.000 0.000 0.500
In1 In 0.250 0.250 0.250
Pd1 Pd 0.250 0.250 0.750
```

---

# AcPmHoIn

An optimized crystal structure of AcPmHoIn (PBE, Alexandria).

- total magnetization (μB per atom) = 0.0002
- total energy (eV per atom) = -4.10
- D(E_F) (states/eV/atom) = 1.897

Structure (CIF):
```
data_AcPmHoIn
_symmetry_space_group_name_H-M 'F -4 3 m'
_symmetry_Int_Tables_number 216
_symmetry_space_group_name_Hall 'F -4 2 3'
_cell_length_a 7.976
_cell_length_b 7.976
_cell_length_c 7.976
_cell_angle_alpha 90.00
_cell_angle_beta 90.00
_cell_angle_gamma 90.00
loop_
_atom_site_label
_atom_site_type_symbol
_atom_site_fract_x
_atom_site_fract_y
_atom_site_fract_z
Ac1 Ac 0.000 0.000 0.000
Pm1 Pm 0.250 0.250 0.750
Ho1 Ho 0.250 0.250 0.250
In1 In 0.000 0.000 0.500
```